(1)
A plane-wave DFT calculation with PBE was carried out for a relaxed structure of BeNiOs2.

Geometry as POSCAR:
```
BeNiOs2
1.0
2.710 0.000 0.000
0.000 3.638 0.000
0.000 0.000 5.073
Os Ni Be
2 1 1
direct
0.000 0.000 0.007
0.500 0.500 0.245
0.500 0.500 0.725
0.000 0.000 0.522
```

Results
The calculation puts the mass density at 14.9 g/cm³. The space group is Pmm2. For the uncorrected energy, the calculation gives -7.934 eV per atom. For the volume, the calculation gives 12.504 A^3/atom. Its total moment is 0.00 μB per formula unit.

(2)
A plane-wave DFT calculation with PBE was carried out for a relaxed structure of NpCdHg2O6.

Geometry as POSCAR:
```
NpCdHg2O6
1.0
-0.281 -2.359 5.336
-2.631 -5.157 0.778
3.364 -4.838 1.234
O Cd Hg Np
6 1 2 1
direct
0.432 0.670 0.807
0.200 0.962 0.296
0.670 0.091 0.807
0.962 0.542 0.296
0.090 0.432 0.807
0.542 0.200 0.296
0.816 0.816 0.552
0.076 0.076 0.772
0.556 0.557 0.331
0.316 0.316 0.052
```

Results
The calculation puts the mass density at 9.5 g/cm³. The calculation puts the formation energy (no corrections) at -1.3913 eV per atom. The space group is R-3. For the uncorrected energy, the calculation gives -5.812 eV per atom. For the volume, the calculation gives 14.743 A^3/atom. Its total moment is 1.00 μB per formula unit.

(3)
A plane-wave DFT calculation with PBE was carried out for a relaxed structure of ZnGa2Pd.

Geometry as POSCAR:
```
ZnGa2Pd
1.0
4.383 0.000 0.000
2.192 3.796 0.000
2.192 1.265 5.888
Pd Ga Zn
1 2 1
direct
0.500 0.500 0.500
0.142 0.142 0.574
0.858 0.858 0.426
0.000 0.000 0.000
```

Results
The calculation puts the mass density at 5.3 g/cm³. The space group is R-3m. For the uncorrected energy, the calculation gives -3.110 eV per atom. For the volume, the calculation gives 24.490 A^3/atom. Its total moment is 0.00 μB per formula unit.

(4)
A plane-wave DFT calculation with PBE was carried out for a relaxed structure of Rb2HI6O.

Geometry as POSCAR:
```
Rb2HI6O
1.0
-2.973 4.536 -5.040
3.458 -3.719 -5.387
-4.644 -3.376 -5.737
O Rb H I
1 2 1 6
direct
0.000 0.000 0.000
0.750 0.250 0.500
0.250 0.750 0.500
0.500 0.500 0.000
0.269 0.731 0.000
0.269 0.269 0.000
0.731 0.731 0.000
0.802 0.802 0.396
0.731 0.269 0.000
0.198 0.198 0.604
```

Results
The calculation puts the mass density at 4.6 g/cm³. The space group is I4/mmm. For the uncorrected energy, the calculation gives -2.161 eV per atom. For the volume, the calculation gives 33.993 A^3/atom. Its total moment is 0.00 μB per formula unit.

(5)
A plane-wave DFT calculation with PBE was carried out for a relaxed structure of Na2CdCoN.

Geometry as POSCAR:
```
Na2CdCoN
1.0
-3.202 -3.947 0.807
1.047 0.180 5.035
-2.616 2.218 0.465
Na Co Cd N
2 1 1 1
direct
0.000 0.500 0.000
0.500 0.000 0.000
0.000 0.000 0.500
0.500 0.500 0.500
0.000 0.000 0.000
```

Results
The calculation puts the mass density at 4.2 g/cm³. The calculation puts the formation energy (no corrections) at 0.0155 eV per atom. The space group is P4/mmm. For the uncorrected energy, the calculation gives -3.781 eV per atom. For the volume, the calculation gives 18.330 A^3/atom. Its total moment is 0.00 μB per formula unit.

(6)
A plane-wave DFT calculation with PBE was carried out for a relaxed structure of Rb6Cl5F.

Geometry as POSCAR:
```
Rb6Cl5F
1.0
0.586 6.867 -4.072
2.773 -6.795 -3.196
-7.881 -1.306 -0.703
F Rb Cl
1 6 5
direct
0.000 0.000 0.000
0.079 0.390 0.237
0.921 0.610 0.763
0.390 0.079 0.237
0.772 0.772 0.231
0.610 0.921 0.763
0.228 0.228 0.769
0.170 0.830 0.500
0.334 0.666 0.000
0.500 0.500 0.500
0.666 0.334 0.000
0.830 0.170 0.500
```

Results
The calculation puts the mass density at 2.8 g/cm³. The calculation puts the formation energy (no corrections) at -2.0417 eV per atom. The space group is C2/m. For the uncorrected energy, the calculation gives -3.451 eV per atom. For the volume, the calculation gives 34.960 A^3/atom. Its total moment is 0.37 μB per formula unit.

(7)
A plane-wave DFT calculation with PBE was carried out for a relaxed structure of Nb2VRh2.

Geometry as POSCAR:
```
Nb2VRh2
1.0
-1.350 4.826 -5.313
-6.251 1.867 3.283
1.516 2.215 1.627
V Rh Nb
2 4 4
direct
0.500 0.500 0.000
0.000 0.000 0.000
0.870 0.630 0.000
0.370 0.870 0.000
0.130 0.370 0.000
0.630 0.130 0.000
0.327 0.173 0.500
0.173 0.673 0.500
0.673 0.827 0.500
0.827 0.327 0.500
```

Results
The calculation puts the mass density at 8.8 g/cm³. The space group is P4/mbm. The calculation puts the energy above the most stable polymorph in this dataset at 0 meV per atom. For the uncorrected energy, the calculation gives -8.892 eV per atom. For the volume, the calculation gives 16.739 A^3/atom. Its total moment is 2.21 μB per formula unit.

(8)
A plane-wave DFT calculation with PBE was carried out for a relaxed structure of CePrTe2.

Geometry as POSCAR:
```
CePrTe2
1.0
3.888 0.000 0.000
0.000 3.888 0.000
0.000 0.000 7.788
Ce Te Pr
1 2 1
direct
0.500 0.500 0.000
0.000 0.000 0.752
0.000 0.000 0.248
0.500 0.500 0.500
```

Results
The calculation puts the mass density at 7.6 g/cm³. The calculation puts the formation energy (no corrections) at -1.2938 eV per atom. The space group is P4/mmm. The calculation puts the energy above the most stable polymorph in this dataset at 117 meV per atom. For the uncorrected energy, the calculation gives -5.543 eV per atom. For the volume, the calculation gives 29.428 A^3/atom. Its total moment is 2.14 μB per formula unit.